A geometry-optimized CoRuN3 structure. Source: Alexandria, functional PBE-GGA.

Cell lengths 3.823, 3.823, 3.823 Å; angles 90.00, 90.00, 90.00 degrees
Last column: magnetic moment on the atom in μB.
Fractional positions:
N 0.500 0.000 0.000  0.19
N 0.000 0.000 0.500  0.25
N 0.000 0.500 0.000  0.28
Ru 0.000 0.000 0.000  -0.29
Co 0.500 0.500 0.500  2.20

Properties
symmetry = Pm-3m (221)

A geometry-optimized CoRuN3 structure. Source: Alexandria, functional PBE-GGA.

Cell lengths 3.602, 3.602, 3.602 Å; angles 90.00, 90.00, 90.00 degrees
Fractional positions:
Ru 0.500 0.500 0.500
Co 0.000 0.000 0.000
N 0.500 0.000 0.000
N 0.000 0.000 0.500
N 0.000 0.500 0.000

Properties
symmetry = Pm-3m (221)

A geometry-optimized CoRuS2N structure. Source: Alexandria, functional PBE-GGA.

Cell lengths 4.573, 4.573, 3.293 Å; angles 90.00, 90.00, 90.00 degrees
Fractional positions:
N 0.000 0.000 0.500
Ru 0.500 0.500 0.500
S 0.500 0.000 0.000
S 0.000 0.500 0.000
Co 0.000 0.000 0.000

Properties
symmetry = P4/mmm (123)

A geometry-optimized CoRuS2N structure. Source: Alexandria, functional PBE-GGA.

Cell lengths 4.796, 4.796, 3.618 Å; angles 90.00, 90.00, 90.00 degrees
Last column: magnetic moment on the atom in μB.
Fractional positions:
Ru 0.000 0.000 0.000  -0.29
S 0.000 0.500 0.000  0.06
S 0.500 0.000 0.000  0.06
N 0.000 0.000 0.500  0.00
Co 0.500 0.500 0.500  2.31

Properties
symmetry = P4/mmm (123)

A geometry-optimized CoRuSeN2 structure. Source: Alexandria, functional PBE-GGA.

Cell lengths 3.733, 3.733, 5.524 Å; angles 90.00, 90.00, 90.00 degrees
Last column: magnetic moment on the atom in μB.
Fractional positions:
Ru 0.000 0.000 0.000  -0.07
N 0.500 0.000 0.000  0.17
N 0.000 0.500 0.000  0.17
Co 0.500 0.500 0.500  2.03
Se 0.000 0.000 0.500  0.05

Properties
symmetry = P4/mmm (123)

A geometry-optimized CoRu2SeN structure. Source: Alexandria, functional PBE-GGA.

Cell lengths 4.745, 3.323, 4.745 Å; angles 90.00, 90.00, 90.00 degrees
Last column: magnetic moment on the atom in μB.
Fractional positions:
Se 0.500 0.500 0.500  0.00
Ru 0.500 0.000 0.000  1.40
Ru 0.000 0.000 0.500  1.61
N 0.000 0.500 0.000  0.04
Co 0.000 0.000 0.000  0.64

Properties
symmetry = P4/mmm (123)

A geometry-optimized CoRuSeN2 structure. Source: Alexandria, functional PBE-GGA.

Cell lengths 3.505, 3.505, 6.094 Å; angles 90.00, 90.00, 90.00 degrees
Last column: magnetic moment on the atom in μB.
Fractional positions:
Se 0.000 0.000 0.500  0.03
Co 0.000 0.000 0.000  -0.17
Ru 0.500 0.500 0.500  1.05
N 0.500 0.000 0.000  0.04
N 0.000 0.500 0.000  0.04

Properties
symmetry = P4/mmm (123)

A geometry-optimized CoSiRuN2 structure. Source: Alexandria, functional PBE-GGA.

Cell lengths 3.476, 5.313, 3.476 Å; angles 90.00, 90.00, 90.00 degrees
Fractional positions:
N 0.500 0.000 0.000
N 0.000 0.000 0.500
Ru 0.500 0.500 0.500
Si 0.000 0.500 0.000
Co 0.000 0.000 0.000

Properties
symmetry = P4/mmm (123)

A geometry-optimized CoSnRu2N structure. Source: Alexandria, functional PBE-GGA.

Cell lengths 4.130, 4.130, 3.842 Å; angles 90.00, 90.00, 90.00 degrees
Last column: magnetic moment on the atom in μB.
Fractional positions:
Co 0.000 0.000 0.500  0.96
Sn 0.500 0.500 0.500  -0.01
Ru 0.500 0.000 0.000  0.20
Ru 0.000 0.500 0.000  0.20
N 0.000 0.000 0.000  0.03

Properties
symmetry = P4/mmm (123)

A geometry-optimized Ta2CoRuN structure. Source: Alexandria, functional PBE-GGA.

Cell lengths 4.213, 4.213, 3.763 Å; angles 90.00, 90.00, 90.00 degrees
Last column: magnetic moment on the atom in μB.
Fractional positions:
N 0.000 0.000 0.000  0.02
Ru 0.500 0.500 0.500  0.07
Co 0.000 0.000 0.500  0.62
Ta 0.000 0.500 0.000  0.02
Ta 0.500 0.000 0.000  0.02

Properties
symmetry = P4/mmm (123)

A geometry-optimized CoTeRuN2 structure. Source: Alexandria, functional PBE-GGA.

Cell lengths 3.766, 3.766, 5.859 Å; angles 90.00, 90.00, 90.00 degrees
Last column: magnetic moment on the atom in μB.
Fractional positions:
Co 0.500 0.500 0.500  1.70
N 0.500 0.000 0.000  0.13
N 0.000 0.500 0.000  0.13
Te 0.000 0.000 0.500  0.02
Ru 0.000 0.000 0.000  -0.07

Properties
symmetry = P4/mmm (123)

A geometry-optimized CoTeRuN2 structure. Source: Alexandria, functional PBE-GGA.

Cell lengths 3.642, 3.642, 5.568 Å; angles 90.00, 90.00, 90.00 degrees
Last column: magnetic moment on the atom in μB.
Fractional positions:
N 0.500 0.000 0.000  0.03
N 0.000 0.500 0.000  0.03
Co 0.000 0.000 0.000  0.06
Ru 0.500 0.500 0.500  0.01
Te 0.000 0.000 0.500  0.00

Properties
symmetry = P4/mmm (123)

So what do the calculations give for energy relative to the elements, uncorrected? Going down the list: 153.2, 150.2, 72.1, 76.7, 92.2, 99.4, 120.4, 114.1, 10.8, -44.3, 91.3, 127.9 kJ/mol of atoms.
So what do the calculations give for size of the total moment? Going down the list: 2.83, 0.00, 0.00, 2.21, 2.56, 3.85, 1.12, 0.00, 1.37, 0.73, 2.07, 0.15 μB/f.u..